[1]
This record from the Alexandria database describes an optimized crystal structure of Zr2InBr. The functional is PBEsol.

* ΔE_f (raw): -296 meV per atom
* energy relative to the lowest polymorph listed for this composition: 0.0 kJ per mole of atoms
* space group: Cmmm, No. 65
* VASP energy: -48.43 eV for the cell shown

Lattice parameters (Å, degrees): 3.2593 5.5756 9.6165 90.00 90.00 90.00
Fractional positions:
Zr (0.0000, 0.0000, 0.2381)
Zr (0.0000, 0.0000, 0.7619)
Zr (0.5000, 0.5000, 0.2381)
Zr (0.5000, 0.5000, 0.7619)
In (0.0000, 0.5000, 0.5000)
In (0.5000, 0.0000, 0.5000)
Br (0.0000, 0.5000, 0.0000)
Br (0.5000, 0.0000, 0.0000)


[2]
This record from the Alexandria database describes an optimized crystal structure of LaTeAu2. The functional is PBEsol.

* ΔE_f (raw): -674 meV per atom
* space group: Pmmm, No. 47
* VASP energy: -19.42 eV for the cell shown

Lattice parameters (Å, degrees): 3.8306 4.9312 5.3531 90.00 90.00 90.00
Fractional positions:
La (0.0000, 0.0000, 0.0000)
Te (0.5000, 0.0000, 0.5000)
Au (0.5000, 0.5000, 0.2430)
Au (0.5000, 0.5000, 0.7570)